LuTh: optimized geometry, PBE-GGA.

Output
SG: No. 187
Polymorph energy (0 for the lowest one) (eV per atom): 0.0000
V (Å³/f.u.): 61.9

Cell and atoms, written as CIF:
```
data_LuTh
_cell_length_a 3.500
_cell_length_b 3.499
_cell_length_c 5.835
_cell_angle_alpha 90.00
_cell_angle_beta 90.00
_cell_angle_gamma 120.00
_space_group_name_H-M_alt 'P 1'
_space_group_IT_number 1
loop_
_space_group_symop_operation_xyz
'x,y,z'
loop_
_atom_site_label
_atom_site_fract_x
_atom_site_fract_y
_atom_site_fract_z
_atom_site_occupancy
Th1 0.333 0.667 0.250 1
Lu1 0.667 0.333 0.750 1
```

---

Ir5PdW2: optimized geometry, PBE-GGA.

Output
Total DFT energy (no corrections) (eV per atom): -9.677
SG: No. 38
V (Å³/f.u.): 118.7

Cell and atoms, written as CIF:
```
data_Ir5PdW2
_cell_length_a 4.433
_cell_length_b 5.556
_cell_length_c 5.556
_cell_angle_alpha 60.16
_cell_angle_beta 90.00
_cell_angle_gamma 90.00
_space_group_name_H-M_alt 'P 1'
_space_group_IT_number 1
loop_
_space_group_symop_operation_xyz
'x,y,z'
loop_
_atom_site_label
_atom_site_fract_x
_atom_site_fract_y
_atom_site_fract_z
_atom_site_occupancy
Ir1 0.000 0.332 0.839 1
Ir2 0.500 0.663 0.168 1
Ir3 0.500 0.165 0.165 1
Ir4 0.500 0.168 0.663 1
Ir5 0.000 0.839 0.332 1
Pd1 0.000 0.832 0.832 1
W1 0.500 0.666 0.666 1
W2 0.000 0.335 0.335 1
```

---

Y4CoSnN2: optimized geometry, PBE-GGA.

Output
Total DFT energy (no corrections) (eV per atom): -7.609
SG: No. 187
V (Å³/f.u.): 154.9

Cell and atoms, written as CIF:
```
data_Y4CoSnN2
_cell_length_a 3.497
_cell_length_b 3.497
_cell_length_c 14.623
_cell_angle_alpha 90.00
_cell_angle_beta 90.00
_cell_angle_gamma 120.00
_space_group_name_H-M_alt 'P 1'
_space_group_IT_number 1
loop_
_space_group_symop_operation_xyz
'x,y,z'
loop_
_atom_site_label
_atom_site_fract_x
_atom_site_fract_y
_atom_site_fract_z
_atom_site_occupancy
N1 0.667 0.333 0.741 1
N2 0.667 0.333 0.259 1
Sn1 0.333 0.667 0.000 1
Co1 0.000 0.000 0.500 1
Y1 0.333 0.667 0.633 1
Y2 0.333 0.667 0.367 1
Y3 0.000 0.000 0.177 1
Y4 0.000 0.000 0.823 1
```

---

Number 1: total magnetization 0.005 μB per atom. Number 2: total magnetization 0.000 μB per atom. Number 3: total magnetization 0.079 μB per atom.